Density functional theory data (PBE-GGA) for a relaxed structure of PmTi4O6.

Calculated values
* uncorrected formation energy: -2726 meV/atom
* DOS at the Fermi energy: 0.331 states/eV/atom
* calculated volume: 10.712 A^3/atom

Structure (extended XYZ):
```
22
Lattice="1.560 -4.976 0.000 1.560 4.976 0.000 0.000 0.000 15.181" Properties=species:S:1:pos:R:3 pbc="T T T"
Pm 1.560 3.467 11.386
Pm 1.560 -3.467 3.795
Ti 1.560 3.944 1.823
Ti 1.560 3.944 5.768
Ti 1.560 1.445 0.555
Ti 1.560 1.445 7.036
Ti 1.560 -1.445 8.145
Ti 1.560 -1.445 14.626
Ti 1.560 -3.944 9.413
Ti 1.560 -3.944 13.358
O 0.000 0.000 0.000
O 0.000 0.000 7.590
O 1.560 3.278 3.795
O 1.560 2.428 9.052
O 1.560 2.428 13.720
O 1.560 0.347 2.350
O 1.560 0.347 5.241
O 1.560 -0.347 9.940
O 1.560 -0.347 12.831
O 1.560 -2.428 1.461
O 1.560 -2.428 6.129
O 1.560 -3.278 11.386
```